Entry 1:
# LaThCoCu | the Alexandria database | GGA-PBE | optimized geometry
# size of the total moment	0.00	μB per formula unit
# energy relative to the elements	-0.047	eV/atom
data_LaThCoCu
_chemical_formula_sum 'La4 Th4 Co4 Cu4'
_symmetry_space_group_name_H-M 'F -4 3 m'
_symmetry_Int_Tables_number 216
_symmetry_space_group_name_Hall 'F -4 2 3'
_cell_length_a 7.0827
_cell_length_b 7.0827
_cell_length_c 7.0827
_cell_angle_alpha 90.00
_cell_angle_beta 90.00
_cell_angle_gamma 90.00
loop_
_atom_site_label
_atom_site_type_symbol
_atom_site_fract_x
_atom_site_fract_y
_atom_site_fract_z
La1 La 0.0000 0.0000 0.0000
Th1 Th 0.0000 0.0000 0.5000
Co1 Co 0.2500 0.2500 0.7500
Cu1 Cu 0.2500 0.2500 0.2500

Entry 2:
# Li2Er2ScPb2 | the Alexandria database | GGA-PBE | optimized geometry
# size of the total moment	0.00	μB per formula unit
# energy relative to the elements	-0.256	eV/atom
data_Li2Er2ScPb2
_chemical_formula_sum 'Li6 Er6 Sc3 Pb6'
_symmetry_space_group_name_H-M 'R -3 m'
_symmetry_Int_Tables_number 166
_symmetry_space_group_name_Hall '-R 3 2"'
_cell_length_a 4.7729
_cell_length_b 4.7729
_cell_length_c 25.8619
_cell_angle_alpha 90.00
_cell_angle_beta 90.00
_cell_angle_gamma 120.00
loop_
_atom_site_label
_atom_site_type_symbol
_atom_site_fract_x
_atom_site_fract_y
_atom_site_fract_z
Li1 Li 0.0000 0.0000 0.1076
Er1 Er 0.0000 0.0000 0.3730
Sc1 Sc 0.0000 0.0000 0.5000
Pb1 Pb 0.0000 0.0000 0.2331

Entry 3:
# BaLa2Cd | the Alexandria database | GGA-PBE | optimized geometry
# relative energy among the computed polymorphs	229	meV per atom
# size of the total moment	0.00	μB per formula unit
# energy relative to the elements	0.123	eV/atom
data_BaLa2Cd
_chemical_formula_sum 'Ba4 La8 Cd4'
_symmetry_space_group_name_H-M 'I -4 2 d'
_symmetry_Int_Tables_number 122
_symmetry_space_group_name_Hall 'I -4 2bw'
_cell_length_a 4.9050
_cell_length_b 4.9050
_cell_length_c 25.1146
_cell_angle_alpha 90.00
_cell_angle_beta 90.00
_cell_angle_gamma 90.00
loop_
_atom_site_label
_atom_site_type_symbol
_atom_site_fract_x
_atom_site_fract_y
_atom_site_fract_z
Ba1 Ba 0.0000 0.0000 0.0000
La1 La 0.2043 0.2500 0.6250
Cd1 Cd 0.0000 0.0000 0.5000

Entry 4:
# Li2Si | the Alexandria database | GGA-PBE | optimized geometry
# size of the total moment	0.00	μB per formula unit
# formation energy without anion corrections	-13	meV/atom
data_Li2Si
_chemical_formula_sum 'Li2 Si1'
_symmetry_space_group_name_H-M 'P -3 m 1'
_symmetry_Int_Tables_number 164
_symmetry_space_group_name_Hall '-P 3 2"'
_cell_length_a 2.7893
_cell_length_b 2.7893
_cell_length_c 6.8816
_cell_angle_alpha 90.00
_cell_angle_beta 90.00
_cell_angle_gamma 120.00
loop_
_atom_site_label
_atom_site_type_symbol
_atom_site_fract_x
_atom_site_fract_y
_atom_site_fract_z
Li1 Li 0.3333 0.6667 0.3115
Si1 Si 0.0000 0.0000 0.0000

Entry 5:
# GeTeSe | the Alexandria database | GGA-PBE | optimized geometry
# relative energy among the computed polymorphs	7	meV per atom
# size of the total moment	0.00	μB per formula unit
# formation energy without anion corrections	-100	meV/atom
data_GeTeSe
_chemical_formula_sum 'Ge4 Te4 Se4'
_symmetry_space_group_name_H-M 'C 1 2/m 1'
_symmetry_Int_Tables_number 12
_cell_length_a 15.2823
_cell_length_b 3.6478
_cell_length_c 6.5968
_cell_angle_alpha 90.00
_cell_angle_beta 93.79
_cell_angle_gamma 90.00
loop_
_symmetry_equiv_pos_as_xyz
'x,y,z'
'-x,-y,-z'
'-x,y,-z'
'x,-y,z'
'x+1/2,y+1/2,z'
'-x+1/2,-y+1/2,-z'
'-x+1/2,y+1/2,-z'
'x+1/2,-y+1/2,z'
loop_
_atom_site_label
_atom_site_type_symbol
_atom_site_fract_x
_atom_site_fract_y
_atom_site_fract_z
Ge1 Ge 0.0992 0.0000 0.1326
Te1 Te 0.0615 0.0000 0.7220
Se1 Se 0.1895 0.5000 0.2684

Entry 6:
# Sc5TiRu6 | the Alexandria database | GGA-PBE | optimized geometry
# size of the total moment	0.00	μB per formula unit
# energy relative to the elements	-0.579	eV/atom
data_Sc5TiRu6
_chemical_formula_sum 'Sc10 Ti2 Ru12'
_symmetry_space_group_name_H-M 'C m m m'
_symmetry_Int_Tables_number 65
_symmetry_space_group_name_Hall '-C 2 2'
_cell_length_a 4.5058
_cell_length_b 13.4771
_cell_length_c 6.4001
_cell_angle_alpha 90.00
_cell_angle_beta 90.00
_cell_angle_gamma 90.00
loop_
_atom_site_label
_atom_site_type_symbol
_atom_site_fract_x
_atom_site_fract_y
_atom_site_fract_z
Sc1 Sc 0.0000 0.0000 0.0000
Sc2 Sc 0.0000 0.3336 0.0000
Sc3 Sc 0.0000 0.3335 0.5000
Ti1 Ti 0.0000 0.0000 0.5000
Ru1 Ru 0.0000 0.1625 0.2547
Ru2 Ru 0.0000 0.5000 0.2594

Repeat the fourth record exactly.
# Li2Si | the Alexandria database | GGA-PBE | optimized geometry
# size of the total moment	0.00	μB per formula unit
# formation energy without anion corrections	-13	meV/atom
data_Li2Si
_chemical_formula_sum 'Li2 Si1'
_symmetry_space_group_name_H-M 'P -3 m 1'
_symmetry_Int_Tables_number 164
_symmetry_space_group_name_Hall '-P 3 2"'
_cell_length_a 2.7893
_cell_length_b 2.7893
_cell_length_c 6.8816
_cell_angle_alpha 90.00
_cell_angle_beta 90.00
_cell_angle_gamma 120.00
loop_
_atom_site_label
_atom_site_type_symbol
_atom_site_fract_x
_atom_site_fract_y
_atom_site_fract_z
Li1 Li 0.3333 0.6667 0.3115
Si1 Si 0.0000 0.0000 0.0000